Pr4Nd3HoSe8: relaxed, PBE.

Unit cell a=8.473 b=8.473 c=8.473 alpha=59.77 beta=59.77 gamma=59.77
Fractional coordinates of all 16 atoms:
1 Pr 0.000 0.000 0.000
2 Pr 0.000 0.500 0.500
3 Pr 0.500 0.000 0.500
4 Pr 0.500 0.500 0.000
5 Nd 0.000 0.000 0.500
6 Nd 0.000 0.500 0.000
7 Nd 0.500 0.000 0.000
8 Ho 0.500 0.500 0.500
9 Se 0.249 0.249 0.249
10 Se 0.255 0.743 0.743
11 Se 0.257 0.257 0.745
12 Se 0.257 0.745 0.257
13 Se 0.743 0.255 0.743
14 Se 0.743 0.743 0.255
15 Se 0.745 0.257 0.257
16 Se 0.751 0.751 0.751

## Properties
- Crystal system: trigonal
- Energy relative to the elements, uncorrected: -1.82 eV/atom
- Theoretical density: 6958 kg/m3
- D(E_F): 10.481 states/eV per cell
- SG: R-3m, No. 166